Entry 1:
Mg3H3Ir: relaxed, PBE-GGA.

```
data_Mg3H3Ir
_cell_length_a 3.027
_cell_length_b 4.613
_cell_length_c 7.142
_cell_angle_alpha 72.57
_cell_angle_beta 78.15
_cell_angle_gamma 89.90
_space_group_name_H-M_alt 'P 1'
_space_group_IT_number 1
loop_
_space_group_symop_operation_xyz
'x,y,z'
loop_
_atom_site_label
_atom_site_type_symbol
_atom_site_fract_x
_atom_site_fract_y
_atom_site_fract_z
Mg1 Mg 0.000 0.000 0.000
Mg2 Mg 0.165 0.701 0.670
Mg3 Mg 0.348 0.369 0.293
H1 H 0.585 0.379 0.831
H2 H 0.755 0.011 0.482
H3 H 0.768 0.542 0.454
Ir1 Ir 0.674 0.211 0.648
```

Calculated values
The value obtained for the density of states at the Fermi level is 1.548 states/eV/f.u. The space-group type is P1, No. 1. The final energy comes out at -3.623 eV/atom. As for the energy above the most stable polymorph in this dataset: 0.061 eV per atom.

***

Entry 2:
NpSbPb: relaxed, PBE-GGA.

```
data_NpSbPb
_cell_length_a 6.039
_cell_length_b 6.039
_cell_length_c 6.039
_cell_angle_alpha 142.20
_cell_angle_beta 142.20
_cell_angle_gamma 54.53
_space_group_name_H-M_alt 'P 1'
_space_group_IT_number 1
loop_
_space_group_symop_operation_xyz
'x,y,z'
loop_
_atom_site_label
_atom_site_type_symbol
_atom_site_fract_x
_atom_site_fract_y
_atom_site_fract_z
Np1 Np 0.000 0.000 0.000
Sb1 Sb 0.659 0.659 0.000
Pb1 Pb 0.314 0.314 0.000
```

Calculated values
The value obtained for the density of states at the Fermi level is 7.195 states/eV/f.u. The space-group type is I4mm, No. 107. The final energy comes out at -6.820 eV/atom. As for the formation energy (no corrections): 30 kJ/mol of formula units. As for the energy above the most stable polymorph in this dataset: 0.000 eV per atom.

***

Entry 3:
Pm2Ga3AgPd4: relaxed, PBE-GGA.

```
data_Pm2Ga3AgPd4
_cell_length_a 4.060
_cell_length_b 4.060
_cell_length_c 11.819
_cell_angle_alpha 90.00
_cell_angle_beta 90.00
_cell_angle_gamma 90.00
_space_group_name_H-M_alt 'P 1'
_space_group_IT_number 1
loop_
_space_group_symop_operation_xyz
'x,y,z'
loop_
_atom_site_label
_atom_site_type_symbol
_atom_site_fract_x
_atom_site_fract_y
_atom_site_fract_z
Pm1 Pm 0.000 0.500 0.248
Pm2 Pm 0.500 0.000 0.752
Ga1 Ga 0.000 0.000 0.000
Ga2 Ga 0.000 0.500 0.629
Ga3 Ga 0.500 0.000 0.371
Ag1 Ag 0.500 0.500 0.000
Pd1 Pd 0.000 0.000 0.500
Pd2 Pd 0.000 0.500 0.842
Pd3 Pd 0.500 0.000 0.158
Pd4 Pd 0.500 0.500 0.500
```

Calculated values
The value obtained for the density of states at the Fermi level is 3.759 states/eV/f.u. The space-group type is P-4m2, No. 115. The final energy comes out at -4.923 eV/atom. Its formation enthalpy at 0 K is -0.70 eV per atom.

***

Entry 4:
Nb3MoH: relaxed, PBE-GGA.

```
data_Nb3MoH
_cell_length_a 4.208
_cell_length_b 4.208
_cell_length_c 4.208
_cell_angle_alpha 90.00
_cell_angle_beta 90.00
_cell_angle_gamma 90.00
_space_group_name_H-M_alt 'P 1'
_space_group_IT_number 1
loop_
_space_group_symop_operation_xyz
'x,y,z'
loop_
_atom_site_label
_atom_site_type_symbol
_atom_site_fract_x
_atom_site_fract_y
_atom_site_fract_z
Nb1 Nb 0.000 0.000 0.500
Nb2 Nb 0.000 0.500 0.000
Nb3 Nb 0.500 0.000 0.000
Mo1 Mo 0.500 0.500 0.500
H1 H 0.000 0.000 0.000
```

Calculated values
The value obtained for the density of states at the Fermi level is 5.936 states/eV/f.u. The space-group type is Pm-3m, No. 221. The final energy comes out at -8.697 eV/atom. As for the energy above the most stable polymorph in this dataset: 0.000 eV per atom.

***

Entry 5:
Sm3Dy2HoS6: relaxed, PBE-GGA.

```
data_Sm3Dy2HoS6
_cell_length_a 6.835
_cell_length_b 6.835
_cell_length_c 6.879
_cell_angle_alpha 99.50
_cell_angle_beta 99.50
_cell_angle_gamma 120.19
_space_group_name_H-M_alt 'P 1'
_space_group_IT_number 1
loop_
_space_group_symop_operation_xyz
'x,y,z'
loop_
_atom_site_label
_atom_site_type_symbol
_atom_site_fract_x
_atom_site_fract_y
_atom_site_fract_z
Sm1 Sm 0.000 0.000 0.000
Sm2 Sm 0.333 0.667 0.000
Sm3 Sm 0.667 0.333 0.000
Dy1 Dy 0.167 0.833 0.500
Dy2 Dy 0.833 0.167 0.500
Ho1 Ho 0.500 0.500 0.500
S1 S 0.088 0.420 0.261
S2 S 0.248 0.248 0.740
S3 S 0.420 0.088 0.261
S4 S 0.580 0.912 0.739
S5 S 0.752 0.752 0.260
S6 S 0.912 0.580 0.739
```

Calculated values
The value obtained for the density of states at the Fermi level is 5.187 states/eV/f.u. The space-group type is C2/m, No. 12. The final energy comes out at -6.403 eV/atom. As for the formation energy (no corrections): -2329 kJ/mol of formula units.

***

Entry 6:
Np2BiSb3: relaxed, PBE-GGA.

```
data_Np2BiSb3
_cell_length_a 7.749
_cell_length_b 7.749
_cell_length_c 7.749
_cell_angle_alpha 146.61
_cell_angle_beta 132.14
_cell_angle_gamma 59.61
_space_group_name_H-M_alt 'P 1'
_space_group_IT_number 1
loop_
_space_group_symop_operation_xyz
'x,y,z'
loop_
_atom_site_label
_atom_site_type_symbol
_atom_site_fract_x
_atom_site_fract_y
_atom_site_fract_z
Np1 Np 0.164 0.164 0.000
Np2 Np 0.836 0.836 0.000
Bi1 Bi 0.500 0.500 0.000
Sb1 Sb 0.000 0.500 0.500
Sb2 Sb 0.326 0.826 0.500
Sb3 Sb 0.674 0.174 0.500
```

Calculated values
The value obtained for the density of states at the Fermi level is 25.281 states/eV/f.u. The space-group type is Immm, No. 71. The final energy comes out at -7.042 eV/atom. As for the formation energy (no corrections): -12 kJ/mol of formula units.